Material: Fe2PtSe
Method: DFT, GGA-PBE
State: relaxed

Summary:
- energy relative to the elements, uncorrected (eV per atom) = 0.15
- SG = C2/m
- total DFT energy (no corrections) (eV/atom) = -6.459

a = 4.666 Å, b = 4.666 Å, c = 2.865 Å
α = 92.23°, β = 92.23°, γ = 109.66°
Fractional positions:
Fe 0.000 0.500 0.000
Fe 0.500 0.000 0.000
Pt 0.000 0.000 0.500
Se 0.500 0.500 0.500


Material: PmSm4Bi2
Method: DFT, GGA-PBE
State: relaxed

Summary:
- SG = I4/mmm
- total DFT energy (no corrections) (eV/atom) = -4.275
- energy of formation (eV/atom) = 0.2089

a = 9.381 Å, b = 9.381 Å, c = 9.381 Å
α = 146.41°, β = 146.41°, γ = 48.24°
Fractional positions:
Pm 0.000 0.000 0.000
Sm 0.000 0.500 0.500
Sm 0.182 0.182 0.000
Sm 0.500 0.000 0.500
Sm 0.818 0.818 0.000
Bi 0.365 0.365 0.000
Bi 0.635 0.635 0.000


Material: Ac9Ru2Rh4
Method: DFT, GGA-PBE
State: relaxed

Summary:
- SG = P-3c1
- total DFT energy (no corrections) (eV/atom) = -6.115
- energy of formation (eV/atom) = -0.4526

a = 7.439 Å, b = 7.439 Å, c = 20.300 Å
α = 90.00°, β = 90.00°, γ = 120.00°
Fractional positions:
Ac 0.000 0.332 0.250
Ac 0.000 0.668 0.750
Ac 0.003 0.331 0.584
Ac 0.003 0.672 0.084
Ac 0.328 0.331 0.084
Ac 0.328 0.997 0.584
Ac 0.331 0.003 0.916
Ac 0.331 0.328 0.416
Ac 0.332 0.000 0.250
Ac 0.332 0.332 0.750
Ac 0.668 0.000 0.750
Ac 0.668 0.668 0.250
Ac 0.669 0.672 0.584
Ac 0.669 0.997 0.084
Ac 0.672 0.003 0.416
Ac 0.672 0.669 0.916
Ac 0.997 0.328 0.916
Ac 0.997 0.669 0.416
Ru 0.000 0.000 0.171
Ru 0.000 0.000 0.329
Ru 0.000 0.000 0.671
Ru 0.000 0.000 0.829
Rh 0.333 0.667 0.338
Rh 0.333 0.667 0.496
Rh 0.333 0.667 0.838
Rh 0.333 0.667 0.996
Rh 0.667 0.333 0.004
Rh 0.667 0.333 0.162
Rh 0.667 0.333 0.504
Rh 0.667 0.333 0.662